Record 1
Entry from Alexandria: Ac5Ce3Se8 after structural relaxation (PBE).

Lattice parameters (Å, degrees): 8.768 8.768 8.768 59.74 59.74 59.74
Fractional positions:
Ac 0.000 0.000 0.000
Ac 0.000 0.500 0.500
Ac 0.500 0.000 0.500
Ac 0.500 0.500 0.000
Ac 0.500 0.500 0.500
Ce 0.000 0.000 0.500
Ce 0.000 0.500 0.000
Ce 0.500 0.000 0.000
Se 0.239 0.750 0.750
Se 0.245 0.245 0.245
Se 0.250 0.250 0.761
Se 0.250 0.761 0.250
Se 0.750 0.239 0.750
Se 0.750 0.750 0.239
Se 0.755 0.755 0.755
Se 0.761 0.250 0.250

energy relative to the elements, uncorrected = -1.833 eV per atom
electronic total energy = -95.55 eV/f.u.
density of states at the Fermi level = 23.567 states/eV/f.u.

Record 2
Entry from Alexandria: Ir3Au after structural relaxation (PBE).

Lattice parameters (Å, degrees): 2.760 4.784 4.748 90.00 90.14 90.00
Fractional positions:
Ir 0.000 0.000 0.000
Ir 0.233 0.500 0.238
Ir 0.767 0.500 0.762
Au 0.500 0.000 0.500

energy of formation = 1.900 eV/f.u.
electronic total energy = -27.96 eV/f.u.
density of states at the Fermi level = 5.593 states/eV/f.u.

Record 3
Entry from Alexandria: KCa2InF8 after structural relaxation (PBE).

Lattice parameters (Å, degrees): 4.057 7.738 5.580 90.00 92.36 90.00
Fractional positions:
K 0.000 0.000 0.000
Ca 0.500 0.245 0.500
Ca 0.500 0.755 0.500
In 0.000 0.500 0.000
F 0.016 0.291 0.745
F 0.016 0.709 0.745
F 0.477 0.500 0.227
F 0.490 0.000 0.724
F 0.510 0.000 0.276
F 0.523 0.500 0.773
F 0.984 0.291 0.255
F 0.984 0.709 0.255

energy relative to the elements, uncorrected = -3.243 eV per atom
electronic total energy = -61.72 eV/f.u.
density of states at the Fermi level = 0.000 states/eV/f.u.